## Nd2Y5Sc2 (PBE)

Data for a geometry-optimized Nd2Y5Sc2 structure.

The structure belongs to space group Ima2 (No. 46); the cell edges are 19.499, 8.439 and 7.004 Å and the angles 90.00°, 90.00° and 90.00°. The inequivalent atoms are Nd at (0.000, 0.000, 0.000), Nd at (0.250, 0.055, 0.043), Y at (0.108, 0.224, 0.296), Y at (0.164, 0.749, 0.794), Y at (0.250, 0.048, 0.549) and Sc at (0.041, 0.633, 0.042).

The value obtained for the spin magnetization is 0.00 Bohr magnetons per cell. Its density of states at the Fermi level is 56.17 states/eV/cell. Its uncorrected energy is -5.849 eV/atom. The calculation puts the relative energy among the computed polymorphs at 164.2 meV per atom.